Computed, not measured: an optimized crystal structure of BaReRu2 at the PBE level of DFT.

POSCAR file:
```
BaReRu2
1.0
-1.878 -2.287 0.059
0.703 -0.677 -3.903
5.383 -4.375 1.729
Ba Ru Re
1 2 1
Cartesian
3.075 -2.565 -1.593
4.705 -3.838 0.995
0.101 -2.002 -0.153
4.753 -5.836 -0.722
```

Summary:
Energy relative to the lowest polymorph listed for this composition, meV per atom: 278
Formation enthalpy at 0 K, eV/atom: 0.70